Record 1
## RbY2Al (GGA-PBE)

Data for a relaxed structure of RbY2Al.

Unit cell a=10.7943 b=10.7943 c=10.7943 alpha=144.72 beta=144.72 gamma=50.76
With the nearest neighbours (Å) after each atom.
Element x y z (fractional)
Rb1 0.0000 0.0000 0.0000  8 Y 4.39-4.40, 4 Al 4.63
Rb2 0.7500 0.2500 0.5000  8 Y 4.39-4.40, 4 Al 4.63
Y1 0.3740 0.6250 0.2490  2 Al 2.94, 2 Y 3.27
Y2 0.3750 0.6240 0.7490  2 Al 2.94, 2 Y 3.27
Y3 0.3760 0.1250 0.7510  2 Al 2.94, 2 Y 3.27
Y4 0.8750 0.6260 0.2510  2 Al 2.94, 2 Y 3.27
Al1 0.2500 0.7500 0.5000  4 Y 2.94
Al2 0.5000 0.5000 0.0000  4 Y 2.94

density = 2.31 g/cm³
E = -3.625 eV per atom
M_tot = 0.00 μB per formula unit
DOS(E_F) = 0.517 states/eV/atom

Record 2
## RbY3Al (GGA-PBE)

Data for a relaxed structure of RbY3Al.

Unit cell a=5.4291 b=5.4291 c=5.4291 alpha=90.00 beta=90.00 gamma=90.00
With the nearest neighbours (Å) after each atom.
Element x y z (fractional)
Rb1 0.0000 0.0000 0.0000  6 Y 2.71
Y1 0.0000 0.0000 0.5000  2 Rb 2.71
Y2 0.0000 0.5000 0.0000  2 Rb 2.71
Y3 0.5000 0.0000 0.0000  2 Rb 2.71
Al1 0.5000 0.5000 0.5000  12 Y 3.84

density = 3.93 g/cm³
E = -3.440 eV per atom
M_tot = 0.00 μB per formula unit
DOS(E_F) = 0.797 states/eV/atom
E above lowest polymorph = 968 meV/atom

Record 3
## RbY3Al (GGA-PBE)

Data for a relaxed structure of RbY3Al.

Unit cell a=5.7805 b=5.7805 c=5.7805 alpha=90.00 beta=90.00 gamma=90.00
With the nearest neighbours (Å) after each atom.
Element x y z (fractional)
Rb1 0.0000 0.0000 0.0000  12 Y 4.09
Y1 0.0000 0.5000 0.5000  2 Al 2.89
Y2 0.5000 0.0000 0.5000  2 Al 2.89
Y3 0.5000 0.5000 0.0000  2 Al 2.89
Al1 0.5000 0.5000 0.5000  6 Y 2.89

density = 3.26 g/cm³
E = -4.408 eV per atom
M_tot = 0.11 μB per formula unit
DOS(E_F) = 1.905 states/eV/atom
E above lowest polymorph = 0 meV/atom

Record 4
## Rb2YAl (GGA-PBE)

Data for a relaxed structure of Rb2YAl.

Unit cell a=9.7238 b=9.7238 c=9.7238 alpha=95.05 beta=95.05 gamma=145.50
With the nearest neighbours (Å) after each atom.
Element x y z (fractional)
Rb1 0.3750 0.0132 0.1382  2 Al 3.67
Rb2 0.7632 0.6250 0.6382  2 Al 3.67
Rb3 0.8750 0.2368 0.8618  2 Al 3.67
Rb4 0.9868 0.1250 0.3618  2 Al 3.67
Y1 0.2500 0.7500 0.5000  2 Al 2.88
Y2 0.5000 0.5000 0.0000  2 Al 2.88
Al1 0.0000 0.0000 0.0000  2 Y 2.88
Al2 0.7500 0.2500 0.5000  2 Y 2.88

density = 1.92 g/cm³
E = -2.406 eV per atom
M_tot = 0.10 μB per formula unit
DOS(E_F) = 1.282 states/eV/atom

Record 5
## Rb3YAl (GGA-PBE)

Data for a relaxed structure of Rb3YAl.

Unit cell a=7.2903 b=7.2903 c=7.2903 alpha=90.00 beta=90.00 gamma=90.00
With the nearest neighbours (Å) after each atom.
Element x y z (fractional)
Rb1 0.0000 0.0000 0.5000  2 Y 3.65
Rb2 0.0000 0.5000 0.0000  2 Y 3.65
Rb3 0.5000 0.0000 0.0000  2 Y 3.65
Y1 0.0000 0.0000 0.0000  6 Rb 3.65
Al1 0.5000 0.5000 0.5000  12 Rb 5.16

density = 1.60 g/cm³
E = -1.411 eV per atom
M_tot = 4.29 μB per formula unit
DOS(E_F) = 2.260 states/eV/atom
E above lowest polymorph = 323 meV/atom

Record 6
## Rb3YAl (GGA-PBE)

Data for a relaxed structure of Rb3YAl.

Unit cell a=6.8699 b=6.8699 c=6.8699 alpha=90.00 beta=90.00 gamma=90.00
With the nearest neighbours (Å) after each atom.
Element x y z (fractional)
Rb1 0.0000 0.0000 0.5000  2 Al 3.43
Rb2 0.0000 0.5000 0.0000  2 Al 3.43
Rb3 0.5000 0.0000 0.0000  2 Al 3.43
Y1 0.5000 0.5000 0.5000  12 Rb 4.86
Al1 0.0000 0.0000 0.0000  6 Rb 3.43

density = 1.91 g/cm³
E = -1.735 eV per atom
M_tot = 0.28 μB per formula unit
DOS(E_F) = 1.403 states/eV/atom
E above lowest polymorph = 0 meV/atom

Record 7
## RbAlZn2 (GGA-PBE)

Data for a relaxed structure of RbAlZn2.

Unit cell a=4.4099 b=7.3644 c=6.9772 alpha=90.00 beta=90.00 gamma=90.00
With the nearest neighbours (Å) after each atom.
Element x y z (fractional)
Rb1 0.2500 0.2500 0.0863  4 Zn 3.59-3.89, 2 Al 3.90
Rb2 0.7500 0.7500 0.9137  4 Zn 3.59-3.89, 2 Al 3.90
Al1 0.2500 0.7500 0.3755  6 Zn 2.62-2.67
Al2 0.7500 0.2500 0.6245  6 Zn 2.62-2.67
Zn1 0.2500 0.0665 0.5631  3 Zn 2.57-2.70, 3 Al 2.62-2.67
Zn2 0.2500 0.4335 0.5631  3 Zn 2.57-2.70, 3 Al 2.62-2.67
Zn3 0.7500 0.5665 0.4369  3 Zn 2.57-2.70, 3 Al 2.62-2.67
Zn4 0.7500 0.9335 0.4369  3 Zn 2.57-2.70, 3 Al 2.62-2.67

density = 3.57 g/cm³
E = -1.788 eV per atom
M_tot = 0.00 μB per formula unit
DOS(E_F) = 0.202 states/eV/atom

Record 8
## Rb3AlZn (GGA-PBE)

Data for a relaxed structure of Rb3AlZn.

Unit cell a=7.0540 b=7.0540 c=7.0540 alpha=90.00 beta=90.00 gamma=90.00
With the nearest neighbours (Å) after each atom.
Element x y z (fractional)
Rb1 0.0000 0.0000 0.5000  2 Al 3.53
Rb2 0.0000 0.5000 0.0000  2 Al 3.53
Rb3 0.5000 0.0000 0.0000  2 Al 3.53
Al1 0.0000 0.0000 0.0000  6 Rb 3.53
Zn1 0.5000 0.5000 0.5000  12 Rb 4.99

density = 1.65 g/cm³
E = -1.109 eV per atom
M_tot = 0.00 μB per formula unit
DOS(E_F) = 0.731 states/eV/atom
E above lowest polymorph = 0 meV/atom

Record 9
## RbAlZn2 (GGA-PBE)

Data for a relaxed structure of RbAlZn2.

Unit cell a=6.9938 b=6.9938 c=6.9938 alpha=37.23 beta=37.23 gamma=37.23
With the nearest neighbours (Å) after each atom.
Element x y z (fractional)
Rb1 0.0000 0.0000 0.0000  8 Zn 3.61-3.87
Al1 0.5000 0.5000 0.5000  6 Zn 2.60
Zn1 0.1851 0.1851 0.1851  3 Al 2.60, 3 Zn 2.68
Zn2 0.8149 0.8149 0.8149  3 Al 2.60, 3 Zn 2.68

density = 3.60 g/cm³
E = -1.779 eV per atom
M_tot = 0.00 μB per formula unit
DOS(E_F) = 0.545 states/eV/atom

Record 10
## RbAl6Zn8 (GGA-PBE)

Data for a relaxed structure of RbAl6Zn8.

Unit cell a=6.7643 b=6.7643 c=6.7643 alpha=72.75 beta=72.75 gamma=72.75
With the nearest neighbours (Å) after each atom.
Element x y z (fractional)
Rb1 0.0000 0.0000 0.0000  8 Zn 3.20-3.40, 6 Al 3.34
Al1 0.1748 0.5709 0.3558  5 Zn 2.63-2.84, 3 Al 2.76-2.80
Al2 0.3558 0.1748 0.5709  5 Zn 2.63-2.84, 3 Al 2.76-2.80
Al3 0.4291 0.6442 0.8252  5 Zn 2.63-2.84, 3 Al 2.76-2.80
Al4 0.5709 0.3558 0.1748  5 Zn 2.63-2.84, 3 Al 2.76-2.80
Al5 0.6442 0.8252 0.4291  5 Zn 2.63-2.84, 3 Al 2.76-2.80
Al6 0.8252 0.4291 0.6442  5 Zn 2.63-2.84, 3 Al 2.76-2.80
Zn1 0.1324 0.4804 0.8018  4 Al 2.63-2.84, 4 Zn 2.63-2.82
Zn2 0.1982 0.8676 0.5196  4 Al 2.63-2.84, 4 Zn 2.63-2.82
Zn3 0.2161 0.2161 0.2161  3 Zn 2.63, 3 Al 2.74
Zn4 0.4804 0.8018 0.1324  4 Al 2.63-2.84, 4 Zn 2.63-2.82
Zn5 0.5196 0.1982 0.8676  4 Al 2.63-2.84, 4 Zn 2.63-2.82
Zn6 0.7839 0.7839 0.7839  3 Zn 2.63, 3 Al 2.74
Zn7 0.8018 0.1324 0.4804  4 Al 2.63-2.84, 4 Zn 2.63-2.82
Zn8 0.8676 0.5196 0.1982  4 Al 2.63-2.84, 4 Zn 2.63-2.82

density = 4.66 g/cm³
E = -2.134 eV per atom
M_tot = 0.00 μB per formula unit
DOS(E_F) = 0.265 states/eV/atom

Record 11
## RbAlZn2 (GGA-PBE)

Data for a relaxed structure of RbAlZn2.

Unit cell a=9.1276 b=9.1276 c=9.1276 alpha=143.50 beta=143.50 gamma=52.58
With the nearest neighbours (Å) after each atom.
Element x y z (fractional)
Rb1 0.3750 0.6250 0.7500  8 Zn 3.79, 4 Al 4.04
Rb2 0.6250 0.3750 0.2500  8 Zn 3.79, 4 Al 4.04
Al1 0.1250 0.8750 0.2500  4 Zn 2.50
Al2 0.8750 0.1250 0.7500  4 Zn 2.50
Zn1 0.0000 0.0000 0.0000  2 Al 2.50
Zn2 0.0000 0.0000 0.5000  2 Al 2.50
Zn3 0.0000 0.5000 0.0000  2 Al 2.50
Zn4 0.5000 0.0000 0.5000  2 Al 2.50

density = 3.02 g/cm³
E = -1.605 eV per atom
M_tot = 0.00 μB per formula unit
DOS(E_F) = 0.199 states/eV/atom

Record 12
## RbAl2Zn (GGA-PBE)

Data for a relaxed structure of RbAl2Zn.

Unit cell a=9.6759 b=9.6759 c=9.6759 alpha=147.50 beta=147.50 gamma=46.62
With the nearest neighbours (Å) after each atom.
Element x y z (fractional)
Rb1 0.3750 0.6250 0.7500  8 Al 3.75, 4 Zn 3.83
Rb2 0.6250 0.3750 0.2500  8 Al 3.75, 4 Zn 3.83
Al1 0.0000 0.0000 0.0000  2 Zn 2.60, 2 Al 2.71
Al2 0.0000 0.0000 0.5000  2 Zn 2.60, 2 Al 2.71
Al3 0.0000 0.5000 0.0000  2 Zn 2.60, 2 Al 2.71
Al4 0.5000 0.0000 0.5000  2 Zn 2.60, 2 Al 2.71
Zn1 0.1250 0.8750 0.2500  4 Al 2.60
Zn2 0.8750 0.1250 0.7500  4 Al 2.60

density = 2.61 g/cm³
E = -2.093 eV per atom
M_tot = 0.00 μB per formula unit
DOS(E_F) = 0.827 states/eV/atom

Question: Among the records above, which one has the lowest E?
Answer: number 3